#i
Compound: LaOF2
Source: Alexandria
Functional: PBE-GGA
Structure: optimized geometry

The value obtained for the total moment is 3.00 Bohr magnetons per cell. The calculation puts the volume at 51 Å³/f.u.

```
data_LaOF2
_space_group_name_H-M_alt 'R -3 m'
_space_group_IT_number 166
_space_group_name_Hall '-R 3 2"'
_cell_length_a 4.1427
_cell_length_b 4.1427
_cell_length_c 10.3378
_cell_angle_alpha 90.00
_cell_angle_beta 90.00
_cell_angle_gamma 120.00
loop_
_atom_site_label
_atom_site_type_symbol
_atom_site_fract_x
_atom_site_fract_y
_atom_site_fract_z
La1 La 0.0000 0.0000 0.0000
O1 O 0.0000 0.0000 0.5000
F1 F 0.0000 0.0000 0.2453
```

#ii
Compound: LaOF2
Source: Alexandria
Functional: PBE-GGA
Structure: optimized geometry

The value obtained for the total moment is 4.00 Bohr magnetons per cell. The calculation puts the volume at 59 Å³/f.u.

```
data_LaOF2
_space_group_name_H-M_alt 'I -4 2 d'
_space_group_IT_number 122
_space_group_name_Hall 'I -4 2bw'
_cell_length_a 3.837
_cell_length_b 3.837
_cell_length_c 16.061
_cell_angle_alpha 90.00
_cell_angle_beta 90.00
_cell_angle_gamma 90.00
loop_
_atom_site_label
_atom_site_type_symbol
_atom_site_fract_x
_atom_site_fract_y
_atom_site_fract_z
La1 La 0.000 0.000 0.000
O1 O 0.000 0.000 0.500
F1 F 0.220 0.250 0.125
```

How do the energies compare? Relative to the most stable structure, in kJ/mol of atoms: #i 0.0; #ii 4.1.

#i
Compound: La2OF
Source: Alexandria
Functional: PBE-GGA
Structure: optimized geometry

The value obtained for the total moment is 0.00 Bohr magnetons per cell. The calculation puts the volume at 68 Å³/f.u.

```
data_La2OF
_space_group_name_H-M_alt 'F m -3 m'
_space_group_IT_number 225
_space_group_name_Hall '-F 4 2 3'
_cell_length_a 6.484
_cell_length_b 6.484
_cell_length_c 6.484
_cell_angle_alpha 90.00
_cell_angle_beta 90.00
_cell_angle_gamma 90.00
loop_
_atom_site_label
_atom_site_type_symbol
_atom_site_fract_x
_atom_site_fract_y
_atom_site_fract_z
La1 La 0.250 0.250 0.250
O1 O 0.000 0.000 0.000
F1 F 0.000 0.000 0.500
```

#ii
Compound: La2OF
Source: Alexandria
Functional: PBE-GGA
Structure: optimized geometry

The value obtained for the total moment is 0.00 Bohr magnetons per cell. The calculation puts the volume at 71 Å³/f.u.

```
data_La2OF
_space_group_name_H-M_alt 'R -3 m'
_space_group_IT_number 166
_space_group_name_Hall '-R 3 2"'
_cell_length_a 3.6540
_cell_length_b 3.6540
_cell_length_c 18.3982
_cell_angle_alpha 90.00
_cell_angle_beta 90.00
_cell_angle_gamma 120.00
loop_
_atom_site_label
_atom_site_type_symbol
_atom_site_fract_x
_atom_site_fract_y
_atom_site_fract_z
La1 La 0.0000 0.0000 0.2435
O1 O 0.0000 0.0000 0.5000
F1 F 0.0000 0.0000 0.0000
```

How do the energies compare? Relative to the most stable structure, in kJ/mol of atoms: #i 57.1; #ii 0.0.

#i
Compound: LaPOF2
Source: Alexandria
Functional: PBE-GGA
Structure: optimized geometry

The value obtained for the total moment is 0.00 Bohr magnetons per cell. The calculation puts the volume at 78 Å³/f.u.

```
data_LaPOF2
_space_group_name_H-M_alt 'P 4/m m m'
_space_group_IT_number 123
_space_group_name_Hall '-P 4 2'
_cell_length_a 4.677
_cell_length_b 4.677
_cell_length_c 3.577
_cell_angle_alpha 90.00
_cell_angle_beta 90.00
_cell_angle_gamma 90.00
loop_
_atom_site_label
_atom_site_type_symbol
_atom_site_fract_x
_atom_site_fract_y
_atom_site_fract_z
La1 La 0.000 0.000 0.000
P1 P 0.500 0.500 0.500
O1 O 0.500 0.500 0.000
F1 F 0.000 0.500 0.500
```

#ii
Compound: LaPOF2
Source: Alexandria
Functional: PBE-GGA
Structure: optimized geometry

The value obtained for the total moment is 2.00 Bohr magnetons per cell. The calculation puts the volume at 104 Å³/f.u.

```
data_LaPOF2
_space_group_name_H-M_alt 'P 4/m m m'
_space_group_IT_number 123
_space_group_name_Hall '-P 4 2'
_cell_length_a 4.635
_cell_length_b 4.635
_cell_length_c 4.831
_cell_angle_alpha 90.00
_cell_angle_beta 90.00
_cell_angle_gamma 90.00
loop_
_atom_site_label
_atom_site_type_symbol
_atom_site_fract_x
_atom_site_fract_y
_atom_site_fract_z
La1 La 0.000 0.000 0.000
P1 P 0.500 0.500 0.500
O1 O 0.000 0.000 0.500
F1 F 0.000 0.500 0.000
```

How do the energies compare? Relative to the most stable structure, in kJ/mol of atoms: #i 20.6; #ii 0.0.

#i
Compound: LaRuOF2
Source: Alexandria
Functional: PBE-GGA
Structure: optimized geometry

The value obtained for the total moment is 3.10 Bohr magnetons per cell. The calculation puts the volume at 115 Å³/f.u.

```
data_LaRuOF2
_space_group_name_H-M_alt 'P 4/m m m'
_space_group_IT_number 123
_space_group_name_Hall '-P 4 2'
_cell_length_a 4.403
_cell_length_b 4.403
_cell_length_c 5.947
_cell_angle_alpha 90.00
_cell_angle_beta 90.00
_cell_angle_gamma 90.00
loop_
_atom_site_label
_atom_site_type_symbol
_atom_site_fract_x
_atom_site_fract_y
_atom_site_fract_z
La1 La 0.000 0.000 0.000
Ru1 Ru 0.000 0.000 0.500
O1 O 0.500 0.500 0.500
F1 F 0.000 0.500 0.000
```

#ii
Compound: LaRuOF2
Source: Alexandria
Functional: PBE-GGA
Structure: optimized geometry

The value obtained for the total moment is 0.00 Bohr magnetons per cell. The calculation puts the volume at 73 Å³/f.u.

```
data_LaRuOF2
_space_group_name_H-M_alt 'P 4/m m m'
_space_group_IT_number 123
_space_group_name_Hall '-P 4 2'
_cell_length_a 4.178
_cell_length_b 4.178
_cell_length_c 4.170
_cell_angle_alpha 90.00
_cell_angle_beta 90.00
_cell_angle_gamma 90.00
loop_
_atom_site_label
_atom_site_type_symbol
_atom_site_fract_x
_atom_site_fract_y
_atom_site_fract_z
La1 La 0.000 0.000 0.000
Ru1 Ru 0.500 0.500 0.500
O1 O 0.500 0.500 0.000
F1 F 0.000 0.500 0.500
```

How do the energies compare? Relative to the most stable structure, in kJ/mol of atoms: #i 49.6; #ii 0.0.

#i
Compound: LaSOF2
Source: Alexandria
Functional: PBE-GGA
Structure: optimized geometry

The value obtained for the total moment is 0.00 Bohr magnetons per cell. The calculation puts the volume at 81 Å³/f.u.

```
data_LaSOF2
_space_group_name_H-M_alt 'P 4/m m m'
_space_group_IT_number 123
_space_group_name_Hall '-P 4 2'
_cell_length_a 4.776
_cell_length_b 4.776
_cell_length_c 3.531
_cell_angle_alpha 90.00
_cell_angle_beta 90.00
_cell_angle_gamma 90.00
loop_
_atom_site_label
_atom_site_type_symbol
_atom_site_fract_x
_atom_site_fract_y
_atom_site_fract_z
La1 La 0.000 0.000 0.000
S1 S 0.500 0.500 0.500
O1 O 0.500 0.500 0.000
F1 F 0.000 0.500 0.500
```

#ii
Compound: LaSOF2
Source: Alexandria
Functional: PBE-GGA
Structure: optimized geometry

The value obtained for the total moment is 3.00 Bohr magnetons per cell. The calculation puts the volume at 104 Å³/f.u.

```
data_LaSOF2
_space_group_name_H-M_alt 'P 4/m m m'
_space_group_IT_number 123
_space_group_name_Hall '-P 4 2'
_cell_length_a 4.680
_cell_length_b 4.680
_cell_length_c 4.739
_cell_angle_alpha 90.00
_cell_angle_beta 90.00
_cell_angle_gamma 90.00
loop_
_atom_site_label
_atom_site_type_symbol
_atom_site_fract_x
_atom_site_fract_y
_atom_site_fract_z
La1 La 0.000 0.000 0.000
S1 S 0.500 0.500 0.500
O1 O 0.000 0.000 0.500
F1 F 0.000 0.500 0.000
```

How do the energies compare? Relative to the most stable structure, in kJ/mol of atoms: #i 49.4; #ii 0.0.

#i
Compound: LaSiOF2
Source: Alexandria
Functional: PBE-GGA
Structure: optimized geometry

The value obtained for the total moment is 0.00 Bohr magnetons per cell. The calculation puts the volume at 125 Å³/f.u.

```
data_LaSiOF2
_space_group_name_H-M_alt 'P 4/m m m'
_space_group_IT_number 123
_space_group_name_Hall '-P 4 2'
_cell_length_a 4.383
_cell_length_b 4.383
_cell_length_c 6.492
_cell_angle_alpha 90.00
_cell_angle_beta 90.00
_cell_angle_gamma 90.00
loop_
_atom_site_label
_atom_site_type_symbol
_atom_site_fract_x
_atom_site_fract_y
_atom_site_fract_z
La1 La 0.000 0.000 0.000
Si1 Si 0.000 0.000 0.500
O1 O 0.500 0.500 0.500
F1 F 0.000 0.500 0.000
```

#ii
Compound: LaSiOF2
Source: Alexandria
Functional: PBE-GGA
Structure: optimized geometry

The value obtained for the total moment is 0.00 Bohr magnetons per cell. The calculation puts the volume at 77 Å³/f.u.

```
data_LaSiOF2
_space_group_name_H-M_alt 'P 4/m m m'
_space_group_IT_number 123
_space_group_name_Hall '-P 4 2'
_cell_length_a 4.645
_cell_length_b 4.645
_cell_length_c 3.566
_cell_angle_alpha 90.00
_cell_angle_beta 90.00
_cell_angle_gamma 90.00
loop_
_atom_site_label
_atom_site_type_symbol
_atom_site_fract_x
_atom_site_fract_y
_atom_site_fract_z
La1 La 0.000 0.000 0.000
Si1 Si 0.500 0.500 0.500
O1 O 0.500 0.500 0.000
F1 F 0.000 0.500 0.500
```

#iii
Compound: LaSiOF2
Source: Alexandria
Functional: PBE-GGA
Structure: optimized geometry

The value obtained for the total moment is 1.00 Bohr magnetons per cell. The calculation puts the volume at 102 Å³/f.u.

```
data_LaSiOF2
_space_group_name_H-M_alt 'P 4/m m m'
_space_group_IT_number 123
_space_group_name_Hall '-P 4 2'
_cell_length_a 4.655
_cell_length_b 4.655
_cell_length_c 4.720
_cell_angle_alpha 90.00
_cell_angle_beta 90.00
_cell_angle_gamma 90.00
loop_
_atom_site_label
_atom_site_type_symbol
_atom_site_fract_x
_atom_site_fract_y
_atom_site_fract_z
La1 La 0.000 0.000 0.000
Si1 Si 0.500 0.500 0.500
O1 O 0.000 0.000 0.500
F1 F 0.000 0.500 0.000
```

How do the energies compare? Relative to the most stable structure, in kJ/mol of atoms: #i 50.3; #ii 4.5; #iii 0.0.